# 1
The following is a PBE-GGA calculation of an optimized crystal structure of TmHf4Os5, from Alexandria via LeMat-Bulk.

N(E_F)   0.180 states/eV/atom
SG   P4/mmm, No. 123
M_tot   0.00 Bohr magnetons per cell
E_tot   -10.67 eV per atom

Structure (extended XYZ):
```
10
Lattice="3.2652 0.0000 0.0000 0.0000 3.2652 0.0000 0.0000 0.0000 16.4742" Properties=species:S:1:pos:R:3 pbc="T T T"
Tm 0.0000 0.0000 0.0000
Hf 0.0000 0.0000 3.3262
Hf 0.0000 0.0000 6.6023
Hf 0.0000 0.0000 9.8719
Hf 0.0000 0.0000 13.1480
Os 1.6326 1.6326 1.8122
Os 1.6326 1.6326 5.0147
Os 1.6326 1.6326 8.2371
Os 1.6326 1.6326 11.4595
Os 1.6326 1.6326 14.6621
```

# 2
The following is a PBE-GGA calculation of an optimized crystal structure of SiBAu, from Alexandria via LeMat-Bulk.

N(E_F)   0.115 states/eV/atom
SG   P-1, No. 2
M_tot   0.00 Bohr magnetons per cell
E_tot   -4.93 eV per atom

Structure (extended XYZ):
```
6
Lattice="-1.2143 -2.8645 4.1842 -0.0976 -3.3269 -1.1604 4.5591 -0.2125 2.1641" Properties=species:S:1:pos:R:3 pbc="T T T"
Si 0.9525 -5.2075 3.8233
Si 2.5808 -3.7516 2.0219
B 1.0324 -3.2169 3.3845
B 2.5985 -2.4153 3.6211
Au 0.2910 -2.9860 1.1933
Au 3.2422 -5.9731 4.6519
```

# 3
The following is a PBE-GGA calculation of an optimized crystal structure of AcLuCdHg, from Alexandria via LeMat-Bulk.

N(E_F)   0.994 states/eV/atom
SG   F-43m, No. 216
M_tot   0.00 Bohr magnetons per cell
E_tot   -2.78 eV per atom

Structure (extended XYZ):
```
4
Lattice="-5.3469 0.3872 1.2537 -1.7371 -1.2614 5.0698 -1.7544 3.9778 3.3780" Properties=species:S:1:pos:R:3 pbc="T T T"
Ac -4.4192 1.5518 4.8507
Lu 0.0000 0.0000 0.0000
Hg -2.2096 0.7759 2.4254
Cd -6.6287 2.3277 7.2761
```

# 4
The following is a PBE-GGA calculation of an optimized crystal structure of Hf2ZnHW, from Alexandria via LeMat-Bulk.

N(E_F)   0.551 states/eV/atom
SG   P4/mmm, No. 123
M_tot   0.00 Bohr magnetons per cell
E_tot   -7.59 eV per atom

Structure (extended XYZ):
```
5
Lattice="-2.7390 0.7946 3.5053 1.7494 -3.5551 2.1729 2.5782 2.1958 1.5168" Properties=species:S:1:pos:R:3 pbc="T T T"
H 0.0000 0.0000 0.0000
Zn 0.7943 -0.2823 3.5975
Hf 0.8747 -1.7775 1.0864
Hf -1.3695 0.3973 1.7526
W 1.2891 1.0979 0.7584
```

# 5
The following is a PBE-GGA calculation of an optimized crystal structure of CsMnTlBr4, from Alexandria via LeMat-Bulk.

N(E_F)   0.000 states/eV/atom
SG   P2_1/m, No. 11
M_tot   10.00 Bohr magnetons per cell
E_tot   -3.86 eV per atom

Structure (extended XYZ):
```
14
Lattice="7.6013 0.0000 -0.1015 0.0000 7.7466 0.0000 -3.1042 0.0000 9.5086" Properties=species:S:1:pos:R:3 pbc="T T T"
Cs 2.5765 5.8100 8.7501
Cs 1.9207 1.9367 0.6569
Mn 0.6664 5.8100 2.9199
Mn 3.8307 1.9367 6.4872
Tl 4.5180 5.8100 4.2451
Tl -0.0208 1.9367 5.1620
Br -2.2949 3.8921 7.0824
Br 6.7920 0.0188 2.3247
Br 6.7920 3.8545 2.3247
Br -2.2949 7.7278 7.0824
Br 2.6485 5.8100 1.3844
Br 1.8487 1.9367 8.0227
Br 1.3636 5.8100 5.3075
Br 3.1335 1.9367 4.0996
```

# 6
The following is a PBE-GGA calculation of an optimized crystal structure of LiTc2Cl, from Alexandria via LeMat-Bulk.

N(E_F)   0.599 states/eV/atom
SG   Immm, No. 71
M_tot   0.00 Bohr magnetons per cell
E_tot   -6.15 eV per atom

Structure (extended XYZ):
```
4
Lattice="7.2764 0.0250 -0.0177 6.6136 3.0345 -0.0177 0.6599 0.1454 3.0118" Properties=species:S:1:pos:R:3 pbc="T T T"
Cl 3.6375 0.8012 0.7441
Li 10.9125 2.4036 2.2323
Tc 13.2763 2.9243 0.1059
Tc 7.8887 1.7376 1.3468
```

# 7
The following is a PBE-GGA calculation of an optimized crystal structure of NaTl7Hg4, from Alexandria via LeMat-Bulk.

N(E_F)   0.450 states/eV/atom
SG   P-3m1, No. 164
M_tot   0.00 Bohr magnetons per cell
E_tot   -1.63 eV per atom

Structure (extended XYZ):
```
12
Lattice="-0.2100 4.9023 -2.4355 -4.5883 -2.3149 1.8966 1.8904 5.9784 11.8705" Properties=species:S:1:pos:R:3 pbc="T T T"
Na 0.9452 2.9892 5.9353
Tl 0.0000 0.0000 0.0000
Tl -2.4070 2.3738 4.9855
Tl -0.5009 6.1920 6.3461
Tl -2.9155 0.7655 1.7922
Tl 0.0076 7.8003 9.5394
Tl 1.4155 4.4765 8.8884
Tl 0.4749 1.5019 2.9822
Hg -1.4961 5.2547 10.7057
Hg -1.4119 3.3111 0.6259
Hg -1.9447 3.8356 7.8882
Hg -0.9632 4.7301 3.4434
```

# 8
The following is a PBE-GGA calculation of an optimized crystal structure of AlTlOs2, from Alexandria via LeMat-Bulk.

N(E_F)   0.758 states/eV/atom
SG   C2/m, No. 12
M_tot   0.00 Bohr magnetons per cell
E_tot   -6.69 eV per atom

Structure (extended XYZ):
```
4
Lattice="4.6328 -0.0040 0.0002 3.6998 2.7882 0.0002 0.9872 0.3299 5.2076" Properties=species:S:1:pos:R:3 pbc="T T T"
Tl 6.9898 2.3356 3.9061
Os 8.2126 2.7442 0.2749
Os 4.7798 1.5971 2.3297
Al 2.3299 0.7785 1.3020
```

What did the second record say?
The following is a PBE-GGA calculation of an optimized crystal structure of SiBAu, from Alexandria via LeMat-Bulk.

N(E_F)   0.115 states/eV/atom
SG   P-1, No. 2
M_tot   0.00 Bohr magnetons per cell
E_tot   -4.93 eV per atom

Structure (extended XYZ):
```
6
Lattice="-1.2143 -2.8645 4.1842 -0.0976 -3.3269 -1.1604 4.5591 -0.2125 2.1641" Properties=species:S:1:pos:R:3 pbc="T T T"
Si 0.9525 -5.2075 3.8233
Si 2.5808 -3.7516 2.0219
B 1.0324 -3.2169 3.3845
B 2.5985 -2.4153 3.6211
Au 0.2910 -2.9860 1.1933
Au 3.2422 -5.9731 4.6519
```

- What is the E_tot in the seventh record?
  -1.63 eV per atom

- Among the records above, which one has the lowest N(E_F)?
  CsMnTlBr4